1.
Cs3KAu: relaxed, PBE-GGA.

The structure in POSCAR format:
```
Cs3KAu
1.0
-3.890 6.108 -0.137
2.146 -2.786 6.332
12.546 7.973 -0.744
Cs K Au
6 2 2
Cartesian
3.137 1.993 -0.186 Cs
9.410 5.980 -0.558 Cs
0.889 0.659 4.131 Cs
5.652 3.685 3.848 Cs
5.150 7.610 1.602 Cs
9.913 10.637 1.320 Cs
9.544 6.159 3.617 K
1.259 5.137 1.833 K
0.000 0.000 0.000 Au
6.273 3.987 -0.372 Au
```

Values from the calculation:
The relative energy among the computed polymorphs comes out at 76.0 meV per atom. Its crystal system is hexagonal. The total DFT energy (no corrections) is -1.45 eV per atom. For the formation energy from the elements, the calculation gives -0.06 eV/atom. The calculation puts the volume at 67.62 Å³/atom.



2.
LaZnCdPt3: relaxed, PBE-GGA.

The structure in POSCAR format:
```
LaZnCdPt3
1.0
-0.745 3.672 4.382
3.622 -4.347 4.259
3.522 5.102 -3.677
La Zn Cd Pt
2 2 2 6
Cartesian
2.747 4.569 2.328 La
3.653 -0.142 2.637 La
3.729 3.067 -0.040 Zn
2.671 1.359 5.005 Zn
6.348 1.337 1.855 Cd
0.051 3.089 3.110 Cd
1.635 1.918 0.567 Pt
1.110 -1.332 1.305 Pt
2.140 -1.180 5.145 Pt
0.737 0.505 3.496 Pt
2.513 -3.016 2.954 Pt
4.765 2.509 4.397 Pt
```

Values from the calculation:
Its crystal system is orthorhombic. The total DFT energy (no corrections) is -4.67 eV per atom. For the formation energy from the elements, the calculation gives -0.46 eV/atom. The calculation puts the volume at 21.36 Å³/atom.



3.
YBN3: relaxed, PBE-GGA.

The structure in POSCAR format:
```
YBN3
1.0
-0.083 1.837 3.000
-3.045 1.466 -0.982
-1.763 -2.619 1.555
Y B N
1 1 3
Cartesian
-2.445 0.342 1.786 Y
0.000 0.000 0.000 B
-1.522 0.733 -0.491 N
-0.881 -1.309 0.777 N
-0.042 0.919 1.500 N
```

Values from the calculation:
Its crystal system is cubic. As for the uncorrected formation energy: 0.27 eV per atom. The total DFT energy (no corrections) is -7.36 eV per atom. The calculation puts the volume at 8.72 Å³/atom.



4.
YBeOs2: relaxed, PBE-GGA.

The structure in POSCAR format:
```
YBeOs2
1.0
5.126 0.015 0.012
4.181 2.967 0.012
1.807 0.579 4.603
Y Be Os
1 1 2
Cartesian
5.630 1.804 2.332 Y
8.113 2.599 4.028 Be
0.115 0.037 0.054 Os
2.812 0.901 0.528 Os
```

Values from the calculation:
Its crystal system is monoclinic. The total DFT energy (no corrections) is -7.97 eV per atom. For the formation energy from the elements, the calculation gives 0.19 eV/atom. The calculation puts the volume at 17.41 Å³/atom.



5.
Sm3AgGe2: relaxed, PBE-GGA.

The structure in POSCAR format:
```
Sm3AgGe2
1.0
-3.549 -0.214 4.963
6.193 -2.878 4.304
2.000 6.996 -2.022
Sm Ag Ge
6 2 4
Cartesian
-0.626 -0.851 4.116 Sm
3.269 -2.242 5.151 Sm
0.625 2.237 0.603 Sm
0.866 3.102 4.568 Sm
3.777 0.801 2.676 Sm
4.019 1.667 6.641 Sm
1.538 -2.346 7.572 Ag
1.106 -0.746 1.695 Ag
1.894 0.380 5.045 Ge
-1.279 1.814 3.000 Ge
5.923 2.089 4.245 Ge
2.750 3.523 2.200 Ge
```

Values from the calculation:
Its crystal system is monoclinic. The total DFT energy (no corrections) is -4.91 eV per atom. For the formation energy from the elements, the calculation gives -0.54 eV/atom. The calculation puts the volume at 27.10 Å³/atom.



6.
ErTmTh4: relaxed, PBE-GGA.

The structure in POSCAR format:
```
ErTmTh4
1.0
9.831 0.000 0.000
0.000 8.285 3.474
0.000 1.614 5.447
Er Tm Th
2 2 8
Cartesian
4.915 4.142 1.737 Er
0.000 0.000 0.000 Er
0.000 4.949 4.461 Tm
4.915 0.807 2.723 Tm
3.279 6.620 3.967 Th
1.637 2.478 2.230 Th
6.552 6.617 3.967 Th
1.637 7.424 6.691 Th
8.194 2.474 2.230 Th
3.279 3.282 4.954 Th
8.194 7.421 6.692 Th
6.552 3.278 4.955 Th
```

Values from the calculation:
The relative energy among the computed polymorphs comes out at 42.8 meV per atom. Its crystal system is orthorhombic. The total DFT energy (no corrections) is -6.37 eV per atom. For the formation energy from the elements, the calculation gives 0.08 eV/atom. The calculation puts the volume at 32.38 Å³/atom.



7.
Tb2CoNi3As4: relaxed, PBE-GGA.

The structure in POSCAR format:
```
Tb2CoNi3As4
1.0
-3.861 1.398 0.348
-1.440 -3.764 -0.864
0.057 -2.155 9.295
Tb Co Ni As
2 1 3 4
Cartesian
-1.916 0.155 2.522 Tb
-0.677 -3.492 6.515 Tb
-2.622 -2.260 4.389 Co
0.029 -1.077 4.647 Ni
-1.880 -1.189 8.318 Ni
-0.713 -2.149 0.718 Ni
-2.651 -1.183 -0.258 As
0.000 0.000 0.000 As
-1.895 -0.662 6.043 As
-0.699 -2.676 2.994 As
```

Values from the calculation:
Its crystal system is tetragonal. The total DFT energy (no corrections) is -6.00 eV per atom. For the formation energy from the elements, the calculation gives -0.77 eV/atom. The calculation puts the volume at 16.21 Å³/atom.



8.
K3Ge5Se12: relaxed, PBE-GGA.

The structure in POSCAR format:
```
K3Ge5Se12
1.0
-4.130 11.575 -7.182
-10.006 -10.068 -1.068
1.917 3.350 13.701
K Ge Se
12 20 48
Cartesian
-6.610 5.325 -4.074 K
-10.879 2.996 -5.372 K
-7.855 -1.116 5.069 K
-1.564 2.891 3.209 K
-4.385 9.707 -2.992 K
-7.323 -1.114 0.065 K
-4.896 5.971 5.387 K
-7.834 -4.850 8.444 K
-10.655 1.966 2.242 K
-4.364 5.974 0.382 K
-1.341 1.861 10.824 K
-5.609 -0.467 9.526 K
-3.789 -1.491 2.127 Ge
-5.003 -5.034 -0.534 Ge
0.000 0.000 0.000 Ge
-3.811 2.242 -1.248 Ge
-1.107 7.462 3.260 Ge
-7.068 0.754 -4.125 Ge
-7.302 -4.848 3.439 Ge
-2.671 10.354 6.469 Ge
-8.632 3.645 -0.916 Ge
-1.362 5.595 7.449 Ge
-10.857 -0.737 -1.998 Ge
-6.110 2.429 2.726 Ge
-2.065 5.788 -3.591 Ge
0.958 1.675 6.851 Ge
-3.587 1.212 6.367 Ge
-9.548 -5.497 -1.017 Ge
-4.045 -3.359 6.316 Ge
-4.917 9.705 2.012 Ge
-8.409 2.615 6.699 Ge
-8.430 6.348 3.324 Ge
-3.961 7.083 -4.867 Se
-5.747 -0.173 2.779 Se
-7.370 8.406 -3.359 Se
-3.959 4.371 -2.447 Se
-8.159 2.061 4.327 Se
-9.591 6.004 -5.186 Se
-8.524 -2.970 2.451 Se
-9.248 -7.746 -0.100 Se
-10.923 -0.756 4.048 Se
-8.470 2.773 -3.198 Se
-7.341 5.725 -0.905 Se
-12.458 0.386 -6.568 Se
-6.478 -4.042 5.599 Se
-5.546 0.681 -1.985 Se
-8.745 -6.807 3.710 Se
-1.662 5.593 5.019 Se
-1.797 -0.084 1.914 Se
-8.616 -1.010 -2.945 Se
-11.904 1.337 -2.769 Se
-4.373 -2.539 -0.007 Se
-9.873 -2.669 7.093 Se
-7.756 2.044 0.715 Se
-10.963 4.039 -0.276 Se
-4.752 9.068 6.374 Se
-4.463 2.814 4.736 Se
-1.257 0.818 5.728 Se
-7.467 -4.211 -0.923 Se
-0.315 3.520 8.220 Se
-2.346 7.527 -1.642 Se
-7.846 7.396 5.459 Se
-3.603 5.867 8.396 Se
-10.557 -0.735 0.432 Se
-10.422 4.941 3.537 Se
-3.474 11.664 1.741 Se
-5.742 8.899 -0.148 Se
0.239 4.471 12.020 Se
-6.674 4.177 7.437 Se
-1.296 5.613 1.404 Se
-3.750 2.084 8.649 Se
-4.878 -0.868 6.356 Se
-2.971 12.604 5.551 Se
-3.695 7.828 3.000 Se
-8.260 0.486 7.899 Se
-2.628 -1.147 10.637 Se
-4.060 2.796 1.124 Se
-4.849 -3.549 8.810 Se
-6.473 5.030 2.673 Se
-8.258 -2.226 10.318 Se
```

Values from the calculation:
Its crystal system is cubic. As for the uncorrected formation energy: -0.32 eV per atom. The total DFT energy (no corrections) is -3.73 eV per atom. The calculation puts the volume at 27.75 Å³/atom.



9.
SrPuZnPb: relaxed, PBE-GGA.

The structure in POSCAR format:
```
SrPuZnPb
1.0
5.510 0.000 0.000
2.755 4.772 0.000
2.755 1.591 4.499
Pb Sr Zn Pu
1 1 1 1
Cartesian
5.510 3.181 2.249 Pb
2.755 1.591 1.125 Sr
0.000 0.000 0.000 Zn
8.265 4.772 3.374 Pu
```

Values from the calculation:
Its crystal system is cubic. The total DFT energy (no corrections) is -5.41 eV per atom. For the formation energy from the elements, the calculation gives -0.16 eV/atom. The calculation puts the volume at 29.57 Å³/atom.



10.
Pm7Y2Tm: relaxed, PBE-GGA.

The structure in POSCAR format:
```
Pm7Y2Tm
1.0
-2.082 -4.828 1.121
-1.415 -1.600 -9.521
7.929 -2.201 5.244
Pm Y Tm
7 2 1
Cartesian
0.433 -1.719 -6.600 Pm
6.081 -2.082 2.323 Pm
1.137 -3.162 1.382 Pm
3.295 -5.467 -4.538 Pm
-0.876 -3.033 -1.799 Pm
5.308 -5.597 -1.357 Pm
2.216 -4.315 -1.578 Pm
0.284 -4.190 -4.632 Y
4.149 -4.439 1.475 Y
0.000 0.000 0.000 Tm
```

Values from the calculation:
The relative energy among the computed polymorphs comes out at 251.0 meV per atom. Its crystal system is orthorhombic. The total DFT energy (no corrections) is -4.41 eV per atom. For the formation energy from the elements, the calculation gives 0.65 eV/atom. The calculation puts the volume at 40.75 Å³/atom.



11.
Li3As2Pt3: relaxed, PBE-GGA.

The structure in POSCAR format:
```
Li3As2Pt3
1.0
-2.626 2.472 2.260
-1.496 -0.946 -4.711
-6.307 -10.446 4.100
Li As Pt
6 4 6
Cartesian
-6.310 -2.703 -0.367 Li
-6.029 -9.381 3.258 Li
-4.400 0.462 -1.609 Li
-4.118 -6.217 2.016 Li
-4.174 -1.243 0.518 Li
-6.255 -7.677 1.131 Li
-8.334 -7.936 3.007 As
-3.884 -3.948 -0.194 As
-6.544 -4.972 1.843 As
-2.094 -0.983 -1.358 As
-4.711 -3.233 2.071 Pt
-8.043 -9.538 1.089 Pt
-2.385 0.618 0.560 Pt
-5.718 -5.687 -0.422 Pt
-3.998 -2.361 -2.062 Pt
-6.431 -6.558 3.711 Pt
```

Values from the calculation:
Its crystal system is orthorhombic. The total DFT energy (no corrections) is -4.74 eV per atom. For the formation energy from the elements, the calculation gives -0.60 eV/atom. The calculation puts the volume at 15.61 Å³/atom.



12.
Ga2SiGe2: relaxed, PBE-GGA.

The structure in POSCAR format:
```
Ga2SiGe2
1.0
-7.011 -1.258 -3.303
2.618 -6.777 -2.976
-0.926 -1.466 2.524
Ge Si Ga
4 2 4
Cartesian
0.231 -5.246 -1.105 Ge
-2.698 -7.367 -3.411 Ge
-5.550 -4.255 -2.650 Ge
-2.621 -2.134 -0.344 Ge
0.000 0.000 0.000 Si
-2.196 -4.018 -3.139 Si
-0.187 -6.124 -3.626 Ga
-4.166 -5.527 -4.739 Ga
-4.206 -1.911 -2.653 Ga
-0.227 -2.508 -1.540 Ga
```

Values from the calculation:
The relative energy among the computed polymorphs comes out at 10.4 meV per atom. Its crystal system is tetragonal. As for the uncorrected formation energy: 0.35 eV per atom. The total DFT energy (no corrections) is -3.79 eV per atom. The calculation puts the volume at 18.88 Å³/atom.